(1)
Material: YIr2Br
Method: DFT, PBE-GGA
State: relaxed

**Offset from the most stable computed form**: 0.472 eV per atom
**Fermi-level density of states**: 6.14 states/eV/f.u.
**Final energy**: -6.42 eV/atom

The structure in extended XYZ format:
```
4
Lattice="-1.939 1.939 5.138 1.939 -1.939 5.138 1.939 1.939 -5.138" Properties=species:S:1:pos:R:3 pbc="T T T"
Y 0.000 0.000 0.000
Ir 1.939 0.000 2.569
Ir 0.000 1.939 2.569
Br 0.000 0.000 5.138
```

(2)
Material: YIrBr4
Method: DFT, PBE-GGA
State: relaxed

**Fermi-level density of states**: 8.81 states/eV/f.u.
**Final energy**: -2.94 eV/atom

The structure in extended XYZ format:
```
6
Lattice="0.000 4.280 4.280 4.280 0.000 4.280 4.280 4.280 0.000" Properties=species:S:1:pos:R:3 pbc="T T T"
Y 0.000 0.000 0.000
Ir 2.140 2.140 2.140
Br 5.346 3.213 3.213
Br 3.213 5.346 3.213
Br 3.213 3.213 5.346
Br 5.346 5.346 5.346
```

(3)
Material: YIr2Br
Method: DFT, PBE-GGA
State: relaxed

**Offset from the most stable computed form**: 0.837 eV per atom
**Fermi-level density of states**: 3.67 states/eV/f.u.
**Final energy**: -6.06 eV/atom

The structure in extended XYZ format:
```
4
Lattice="1.605 0.927 8.787 -1.605 0.927 8.787 0.000 -1.853 8.787" Properties=species:S:1:pos:R:3 pbc="T T T"
Y 0.000 0.000 0.000
Ir 0.000 0.000 6.585
Ir 0.000 0.000 19.777
Br 0.000 0.000 13.181
```

(4)
Material: YIrBr2
Method: DFT, PBE-GGA
State: relaxed

**Offset from the most stable computed form**: 0.499 eV per atom
**Fermi-level density of states**: 1.51 states/eV/f.u.
**Final energy**: -5.01 eV/atom

The structure in extended XYZ format:
```
4
Lattice="3.172 -4.560 0.000 3.172 4.560 0.000 -3.142 0.000 3.246" Properties=species:S:1:pos:R:3 pbc="T T T"
Y 0.000 0.000 0.000
Ir 3.172 0.000 0.000
Br 0.015 2.280 1.623
Br 0.015 -2.280 1.623
```

(5)
Material: Y4IrBr
Method: DFT, PBE-GGA
State: relaxed

**Fermi-level density of states**: 9.65 states/eV/f.u.
**Final energy**: -5.47 eV/atom

The structure in extended XYZ format:
```
6
Lattice="0.000 4.348 4.348 4.348 0.000 4.348 4.348 4.348 0.000" Properties=species:S:1:pos:R:3 pbc="T T T"
Y 3.277 3.277 3.277
Y 5.418 5.418 3.277
Y 5.418 3.277 5.418
Y 3.277 5.418 5.418
Ir 6.522 6.522 6.522
Br 0.000 0.000 0.000
```

(6)
Material: YIr2Br
Method: DFT, PBE-GGA
State: relaxed

**Offset from the most stable computed form**: 0.700 eV per atom
**Fermi-level density of states**: 7.56 states/eV/f.u.
**Final energy**: -6.20 eV/atom

The structure in extended XYZ format:
```
4
Lattice="0.000 3.370 3.370 3.370 0.000 3.370 3.370 3.370 0.000" Properties=species:S:1:pos:R:3 pbc="T T T"
Y 0.000 0.000 0.000
Ir 1.685 1.685 1.685
Ir 3.370 3.370 3.370
Br 5.054 5.054 5.054
```

(7)
Material: YIr2Br
Method: DFT, PBE-GGA
State: relaxed

**Offset from the most stable computed form**: 0.749 eV per atom
**Fermi-level density of states**: 4.20 states/eV/f.u.
**Final energy**: -6.15 eV/atom

The structure in extended XYZ format:
```
4
Lattice="3.124 0.000 0.000 0.000 3.124 0.000 0.000 0.000 7.757" Properties=species:S:1:pos:R:3 pbc="T T T"
Y 0.000 0.000 0.000
Ir 1.562 1.562 2.019
Ir 1.562 1.562 5.738
Br 0.000 0.000 3.879
```

(8)
Material: YIr2Br
Method: DFT, PBE-GGA
State: relaxed

**Offset from the most stable computed form**: 0.468 eV per atom
**Fermi-level density of states**: 3.95 states/eV/f.u.
**Final energy**: -6.43 eV/atom

The structure in extended XYZ format:
```
4
Lattice="3.079 0.000 0.000 0.000 5.139 0.000 -0.036 0.000 4.723" Properties=species:S:1:pos:R:3 pbc="T T T"
Y 0.000 0.000 0.000
Ir 0.809 2.569 3.535
Ir 2.234 2.569 1.188
Br 1.522 0.000 2.361
```

(9)
Material: YIr2Br
Method: DFT, PBE-GGA
State: relaxed

**Offset from the most stable computed form**: 0.000 eV per atom
**Fermi-level density of states**: 4.56 states/eV/f.u.
**Final energy**: -6.90 eV/atom

The structure in extended XYZ format:
```
4
Lattice="2.090 1.207 7.368 -2.090 1.207 7.368 0.000 -2.413 7.368" Properties=species:S:1:pos:R:3 pbc="T T T"
Y 0.000 0.000 0.000
Ir 0.000 0.000 9.275
Ir 0.000 0.000 16.586
Br 0.000 0.000 5.554
```

(10)
Material: YIrBr2
Method: DFT, PBE-GGA
State: relaxed

**Offset from the most stable computed form**: 0.350 eV per atom
**Fermi-level density of states**: 3.26 states/eV/f.u.
**Final energy**: -5.15 eV/atom

The structure in extended XYZ format:
```
4
Lattice="-1.992 2.039 7.230 1.992 -2.039 7.230 1.992 2.039 -7.230" Properties=species:S:1:pos:R:3 pbc="T T T"
Y 0.000 0.000 0.000
Ir 0.000 0.000 7.230
Br 1.992 0.000 5.127
Br 0.000 2.039 2.103
```

(11)
Material: ZnIrBr2
Method: DFT, PBE-GGA
State: relaxed

**Offset from the most stable computed form**: 0.251 eV per atom
**Fermi-level density of states**: 4.37 states/eV/f.u.
**Final energy**: -3.10 eV/atom

The structure in extended XYZ format:
```
4
Lattice="3.259 0.000 0.000 0.000 3.737 0.000 0.000 0.000 7.777" Properties=species:S:1:pos:R:3 pbc="T T T"
Zn 0.000 0.000 0.000
Ir 1.630 1.868 7.063
Br 0.000 0.000 5.122
Br 1.630 1.868 1.747
```

(12)
Material: ZnIr2Br
Method: DFT, PBE-GGA
State: relaxed

**Offset from the most stable computed form**: 0.606 eV per atom
**Fermi-level density of states**: 6.24 states/eV/f.u.
**Final energy**: -4.29 eV/atom

The structure in extended XYZ format:
```
4
Lattice="0.000 3.157 3.157 3.157 0.000 3.157 3.157 3.157 0.000" Properties=species:S:1:pos:R:3 pbc="T T T"
Zn 0.000 0.000 0.000
Ir 1.579 1.579 1.579
Ir 4.736 4.736 4.736
Br 3.157 3.157 3.157
```

Calculated volume
In order: 77.2, 156.8, 78.4, 93.9, 164.4, 76.5, 75.7, 74.7, 111.5, 117.5, 94.7, 62.9
Unit: Å³/cell